Entry 1
Material: NaScAl2
Method: DFT, PBE
State: relaxed

Computed properties:
- M_tot (Bohr magnetons per cell) = 0.00

Lattice parameters (Å, degrees): 7.7517 7.7517 6.0309 90.00 90.00 90.00
With the nearest neighbours (Å) after each atom.
Space group I-42d (No. 122)
Symmetry-distinct sites (fractional):
Na 0.0000 0.0000 0.0000 [4 per cell]  4 Al 2.84, 2 Sc 3.02
Sc 0.0000 0.0000 0.5000 [4 per cell]  4 Al 2.85, 2 Na 3.02
Al 0.2491 0.7500 0.1250 [8 per cell]  2 Na 2.84, 2 Sc 2.85, 2 Al 3.02



Entry 2
Material: NaScAl2
Method: DFT, PBE
State: relaxed

Computed properties:
- M_tot (Bohr magnetons per cell) = 0.00

Lattice parameters (Å, degrees): 6.8977 6.8977 6.8977 90.00 90.00 90.00
With the nearest neighbours (Å) after each atom.
Space group Fm-3m (No. 225)
Symmetry-distinct sites (fractional):
Na 0.0000 0.0000 0.0000 [4 per cell]  8 Al 2.99
Sc 0.0000 0.0000 0.5000 [4 per cell]  8 Al 2.99
Al 0.2500 0.2500 0.2500 [8 per cell]  4 Na 2.99, 4 Sc 2.99



Least stable of them? entry 1.



Entry 1
Material: NaSc2Al2
Method: DFT, PBE
State: relaxed

Computed properties:
- M_tot (Bohr magnetons per cell) = 0.00

Lattice parameters (Å, degrees): 8.6569 8.6569 3.0390 90.00 90.00 90.00
With the nearest neighbours (Å) after each atom.
Space group P4/mbm (No. 127)
Symmetry-distinct sites (fractional):
Na 0.0000 0.0000 0.0000 [2 per cell]  2 Na 3.04
Sc 0.1232 0.3768 0.0000 [4 per cell]  6 Al 2.91-3.02, 3 Sc 3.02-3.04
Al 0.1741 0.6741 0.5000 [4 per cell]  6 Sc 2.91-3.02, 2 Al 3.04



Entry 2
Material: NaSc2Al2
Method: DFT, PBE
State: relaxed

Computed properties:
- M_tot (Bohr magnetons per cell) = 0.00

Lattice parameters (Å, degrees): 8.2471 8.2471 3.2732 90.00 90.00 90.00
With the nearest neighbours (Å) after each atom.
Space group P4/mbm (No. 127)
Symmetry-distinct sites (fractional):
Na 0.0000 0.0000 0.0000 [2 per cell]  2 Na 3.27, 4 Al 3.31, 8 Sc 3.45
Sc 0.1766 0.3234 0.5000 [4 per cell]  6 Al 2.92-2.96
Al 0.1160 0.6160 0.0000 [4 per cell]  1 Al 2.71, 6 Sc 2.92-2.96



Least stable of them? entry 1.



Entry 1
Material: Na2AlSe
Method: DFT, PBE
State: relaxed

Computed properties:
- M_tot (Bohr magnetons per cell) = 0.00

Lattice parameters (Å, degrees): 7.3120 7.3120 7.3120 90.00 90.00 90.00
With the nearest neighbours (Å) after each atom.
Space group Fm-3m (No. 225)
Symmetry-distinct sites (fractional):
Na 0.2500 0.2500 0.2500 [8 per cell]  4 Se 3.17, 4 Al 3.17
Al 0.0000 0.0000 0.0000 [4 per cell]  8 Na 3.17
Se 0.0000 0.0000 0.5000 [4 per cell]  8 Na 3.17



Entry 2
Material: Na2AlSe
Method: DFT, PBE
State: relaxed

Computed properties:
- M_tot (Bohr magnetons per cell) = 0.00

Lattice parameters (Å, degrees): 4.5582 4.5582 20.0472 90.00 90.00 90.00
With the nearest neighbours (Å) after each atom.
Space group I-42d (No. 122)
Symmetry-distinct sites (fractional):
Na 0.2276 0.2500 0.1250 [8 per cell]  2 Se 2.94, 2 Al 3.02, 2 Na 3.08
Al 0.0000 0.0000 0.5000 [4 per cell]  4 Na 3.02, 4 Se 3.22
Se 0.0000 0.0000 0.0000 [4 per cell]  4 Na 2.94, 4 Al 3.22



Least stable of them? entry 2.



Entry 1
Material: Na3AlSe3
Method: DFT, PBE
State: relaxed

Computed properties:
- M_tot (Bohr magnetons per cell) = 0.00

Lattice parameters (Å, degrees): 7.5590 7.2916 15.2680 90.00 119.51 90.00
With the nearest neighbours (Å) after each atom.
Space group P2_1/c (No. 14)
Symmetry-distinct sites (fractional):
Na 0.0616 0.0265 0.2865 [4 per cell]  4 Se 2.95-3.16, 1 Al 3.22
Na 0.2704 0.5034 0.6102 [4 per cell]  4 Se 2.91-3.11
Na 0.3086 0.0035 0.6022 [4 per cell]  4 Se 3.00-3.09
Al 0.3381 0.6403 0.4198 [4 per cell]  4 Se 2.37-2.46
Se 0.0528 0.7440 0.9276 [4 per cell]  1 Al 2.37
Se 0.3458 0.1967 0.9269 [4 per cell]  2 Al 2.42-2.46
Se 0.3458 0.7407 0.2738 [4 per cell]  1 Al 2.38



Entry 2
Material: Na3AlSe3
Method: DFT, PBE
State: relaxed

Computed properties:
- M_tot (Bohr magnetons per cell) = 0.00

Lattice parameters (Å, degrees): 7.4507 13.2407 9.2354 90.00 126.98 90.00
With the nearest neighbours (Å) after each atom.
Space group P2_1/c (No. 14)
Symmetry-distinct sites (fractional):
Na 0.1650 0.1162 0.4981 [4 per cell]  4 Se 2.89-3.11
Na 0.2162 0.1075 0.9174 [4 per cell]  5 Se 2.95-3.18, 1 Al 3.29
Na 0.2882 0.6969 0.5227 [4 per cell]  4 Se 3.02-3.17, 1 Al 3.31
Al 0.4752 0.0769 0.3544 [4 per cell]  4 Se 2.36-2.46
Se 0.2169 0.2141 0.2261 [4 per cell]  1 Al 2.38
Se 0.2889 0.5840 0.8130 [4 per cell]  2 Al 2.44-2.46
Se 0.3078 0.5688 0.2541 [4 per cell]  1 Al 2.36



Least stable of them? entry 2.



Entry 1
Material: Na2AlSn
Method: DFT, PBE
State: relaxed

Computed properties:
- M_tot (Bohr magnetons per cell) = 0.00

Lattice parameters (Å, degrees): 8.7455 8.7455 5.7964 90.00 90.00 90.00
With the nearest neighbours (Å) after each atom.
Space group I-42d (No. 122)
Symmetry-distinct sites (fractional):
Na 0.2419 0.2500 0.1250 [8 per cell]  2 Na 2.90, 2 Al 3.13, 2 Sn 3.22
Al 0.0000 0.0000 0.0000 [4 per cell]  2 Sn 2.90, 4 Na 3.13
Sn 0.0000 0.0000 0.5000 [4 per cell]  2 Al 2.90, 4 Na 3.22



Entry 2
Material: Na2AlSn
Method: DFT, PBE
State: relaxed

Computed properties:
- M_tot (Bohr magnetons per cell) = 0.00

Lattice parameters (Å, degrees): 7.3370 7.3370 7.3370 90.00 90.00 90.00
With the nearest neighbours (Å) after each atom.
Space group Fm-3m (No. 225)
Symmetry-distinct sites (fractional):
Na 0.2500 0.2500 0.2500 [8 per cell]  4 Sn 3.18, 4 Al 3.18
Al 0.0000 0.0000 0.0000 [4 per cell]  8 Na 3.18
Sn 0.0000 0.0000 0.5000 [4 per cell]  8 Na 3.18



Least stable of them? entry 1.